(1)
Here is a relaxed structure of Er3N2O from the Alexandria database. Energies are from GGA-PBE.

Properties
Spin magnetization = 0.000 μB/atom
E_form (uncorrected) = -13.39 eV per formula unit
VASP energy = -48.7 eV per cell

a = 3.4026 Å, b = 4.8155 Å, c = 5.8930 Å
α = 114.12°, β = 106.71°, γ = 90.00°
Last column: nearest neighbours and their distance in Å.
Atoms (fractional coordinates):
Er 0.1722 0.1720 0.3441  4 N 2.36-2.41, 2 O 2.44-2.45
O 0.5000 0.0000 0.0000  6 Er 2.41-2.45
Er 0.5000 0.5000 0.0000  4 N 2.41, 2 O 2.41
N 0.8337 0.3331 0.6662  6 Er 2.36-2.41
N 0.1663 0.6669 0.3338  6 Er 2.36-2.41
Er 0.8278 0.8280 0.6559  4 N 2.36-2.41, 2 O 2.44-2.45

***

(2)
Here is a relaxed structure of TaTcRh2 from the Alexandria database. Energies are from GGA-PBE.

Properties
Polymorph energy (0 for the lowest one) = 62 meV per atom
Spin magnetization = 0.000 μB/atom
VASP energy = -38.3 eV per cell
Energy relative to the elements = -0.341 eV per atom

a = 4.4622 Å, b = 2.7884 Å, c = 4.8413 Å
α = 90.00°, β = 90.00°, γ = 90.00°
Last column: nearest neighbours and their distance in Å.
Atoms (fractional coordinates):
Rh 0.0000 0.1250 0.9457  4 Tc 2.72, 4 Ta 2.75-2.83, 4 Rh 2.79-2.80
Tc 0.5000 0.6251 0.8033  8 Rh 2.72-2.83, 2 Tc 2.79, 2 Ta 2.80
Rh 0.5000 0.1249 0.2958  4 Ta 2.74, 4 Tc 2.76-2.83, 4 Rh 2.79-2.80
Ta 0.0000 0.6250 0.4552  8 Rh 2.74-2.83, 2 Ta 2.79, 2 Tc 2.80

***

(3)
Here is a relaxed structure of Na2Ho2HfTe6 from the Alexandria database. Energies are from GGA-PBE.

Properties
Spin magnetization = 0.000 μB/atom
E_form (uncorrected) = -12.68 eV per formula unit
VASP energy = -53.3 eV per cell

a = 7.4211 Å, b = 7.4211 Å, c = 8.0723 Å
α = 99.08°, β = 99.08°, γ = 119.66°
Last column: nearest neighbours and their distance in Å.
Atoms (fractional coordinates):
Na 0.1712 0.8288 0.0000  6 Te 3.24-3.28
Na 0.8288 0.1712 0.0000  6 Te 3.24-3.28
Te 0.9202 0.6041 0.2734  1 Hf 2.93, 2 Ho 3.07, 1 Na 3.24
Te 0.7581 0.7581 0.7241  1 Hf 2.93, 2 Ho 3.07, 2 Na 3.24
Hf 0.0000 0.0000 0.5000  6 Te 2.93
Te 0.0798 0.3959 0.7266  1 Hf 2.93, 2 Ho 3.07, 1 Na 3.24
Te 0.3959 0.0798 0.7266  1 Hf 2.93, 2 Ho 3.07, 1 Na 3.24
Te 0.6041 0.9202 0.2734  1 Hf 2.93, 2 Ho 3.07, 1 Na 3.24
Ho 0.3322 0.6678 0.5000  6 Te 3.07
Ho 0.6678 0.3322 0.5000  6 Te 3.07
Te 0.2419 0.2419 0.2759  1 Hf 2.93, 2 Ho 3.07, 2 Na 3.24

***

(4)
Here is a relaxed structure of Zr2IrRh4 from the Alexandria database. Energies are from GGA-PBE.

Properties
Spin magnetization = 0.000 μB/atom
VASP energy = -116.9 eV per cell
Energy relative to the elements = -0.444 eV per atom

a = 10.0155 Å, b = 5.1611 Å, c = 5.1747 Å
α = 119.27°, β = 90.00°, γ = 90.00°
Last column: nearest neighbours and their distance in Å.
Atoms (fractional coordinates):
Rh 0.7648 0.6979 0.9328  6 Rh 2.60-2.75, 1 Ir 2.75, 1 Zr 2.80
Rh 0.7351 0.1978 0.9327  6 Rh 2.60-2.75, 1 Ir 2.75, 1 Zr 2.80
Zr 0.4394 0.8418 0.6666  4 Rh 2.60-2.84
Ir 0.5000 0.5000 0.0000  6 Rh 2.66-2.92
Zr 0.5606 0.1582 0.3334  4 Rh 2.60-2.84
Rh 0.1771 0.7973 0.5605  3 Zr 2.60-2.84, 4 Rh 2.65-2.75, 1 Ir 2.66
Zr 0.0606 0.3418 0.6666  4 Rh 2.60-2.84
Ir 0.0000 0.0000 0.0000  6 Rh 2.66-2.92
Rh 0.6771 0.7026 0.4395  3 Zr 2.60-2.84, 4 Rh 2.65-2.75, 1 Ir 2.66
Rh 0.2649 0.8022 0.0673  6 Rh 2.60-2.75, 1 Ir 2.75, 1 Zr 2.80
Rh 0.3229 0.2974 0.5605  3 Zr 2.60-2.84, 4 Rh 2.65-2.75, 1 Ir 2.66
Rh 0.2352 0.3021 0.0672  6 Rh 2.60-2.75, 1 Ir 2.75, 1 Zr 2.80
Zr 0.9394 0.6582 0.3334  4 Rh 2.60-2.84
Rh 0.8229 0.2027 0.4395  3 Zr 2.60-2.84, 4 Rh 2.65-2.75, 1 Ir 2.66

***

(5)
Here is a relaxed structure of CsRb2F from the Alexandria database. Energies are from GGA-PBE.

Properties
Spin magnetization = 0.000 μB/atom
E_form (uncorrected) = -2.53 eV per formula unit
VASP energy = -7.2 eV per cell

a = 7.0927 Å, b = 7.0927 Å, c = 7.0927 Å
α = 60.00°, β = 60.00°, γ = 60.00°
Last column: nearest neighbours and their distance in Å.
Atoms (fractional coordinates):
Rb 0.2500 0.2500 0.2500  4 F 4.34, 4 Cs 4.34
Rb 0.7500 0.7500 0.7500  4 Cs 4.34, 4 F 4.34
F 0.0000 0.0000 0.0000  8 Rb 4.34
Cs 0.5000 0.5000 0.5000  8 Rb 4.34

***

(6)
Here is a relaxed structure of Ac2SiNi4Ge3 from the Alexandria database. Energies are from GGA-PBE.

Properties
Spin magnetization = 0.000 μB/atom
E_form (uncorrected) = -6.27 eV per formula unit
VASP energy = -56.9 eV per cell

a = 4.2677 Å, b = 4.2677 Å, c = 9.9518 Å
α = 90.00°, β = 90.00°, γ = 90.00°
Last column: nearest neighbours and their distance in Å.
Atoms (fractional coordinates):
Si 0.5000 0.5000 0.5000  4 Ni 2.43
Ge 0.0000 0.0000 0.5000  4 Ni 2.43
Ni 0.5000 0.5000 0.0000  4 Ge 2.45
Ge 0.0000 0.5000 0.1213  5 Ni 2.45-2.60
Ni 0.0000 0.5000 0.3823  3 Ge 2.43-2.60, 2 Si 2.43
Ac 0.0000 0.5000 0.7494  6 Ge 3.27-3.28, 2 Si 3.27, 9 Ni 3.28-3.65
Ge 0.5000 0.0000 0.8787  5 Ni 2.45-2.60
Ni 0.0000 0.0000 0.0000  4 Ge 2.45
Ac 0.5000 0.0000 0.2506  6 Ge 3.27-3.28, 2 Si 3.27, 9 Ni 3.28-3.65
Ni 0.5000 0.0000 0.6177  3 Ge 2.43-2.60, 2 Si 2.43

***

(7)
Here is a relaxed structure of Tm3NiIr2 from the Alexandria database. Energies are from GGA-PBE.

Properties
Spin magnetization = 0.000 μB/atom
VASP energy = -83.4 eV per cell
Energy relative to the elements = -0.796 eV per atom

a = 4.7603 Å, b = 4.7603 Å, c = 11.6752 Å
α = 90.00°, β = 90.00°, γ = 120.00°
Last column: nearest neighbours and their distance in Å.
Atoms (fractional coordinates):
Tm 0.6667 0.3333 0.0838  1 Ni 2.88, 7 Ir 2.92-2.96
Ir 0.6667 0.3333 0.8302  8 Tm 2.89-2.96
Ir 0.3333 0.6667 0.1698  8 Tm 2.89-2.96
Tm 0.3333 0.6667 0.4171  4 Ir 2.89-2.91, 4 Ni 2.93-2.95
Tm 0.0000 0.0000 0.7491  3 Ni 2.90, 5 Ir 2.91-2.93
Ir 0.0000 0.0000 0.5000  8 Tm 2.91
Ni 0.6667 0.3333 0.3303  8 Tm 2.88-2.95
Ir 0.0000 0.0000 0.0000  8 Tm 2.92-2.93
Tm 0.6667 0.3333 0.5829  4 Ir 2.89-2.91, 4 Ni 2.93-2.95
Ni 0.3333 0.6667 0.6697  8 Tm 2.88-2.95
Tm 0.3333 0.6667 0.9162  1 Ni 2.88, 7 Ir 2.92-2.96
Tm 0.0000 0.0000 0.2509  3 Ni 2.90, 5 Ir 2.91-2.93

***

(8)
Here is a relaxed structure of Sr2CeMg9 from the Alexandria database. Energies are from GGA-PBE.

Properties
Spin magnetization = 0.102 μB/atom
VASP energy = -23.9 eV per cell
Energy relative to the elements = -0.021 eV per atom

a = 6.2385 Å, b = 6.2385 Å, c = 10.7472 Å
α = 73.13°, β = 73.13°, γ = 60.00°
Last column: nearest neighbours and their distance in Å.
Atoms (fractional coordinates):
Mg 0.5000 0.5000 0.5000  6 Mg 3.18
Mg 0.5813 0.5813 0.7581  7 Mg 3.03-3.18
Mg 0.4187 0.9207 0.2419  7 Mg 3.03-3.18
Ce 0.0000 0.0000 0.0000  18 Mg 3.60-3.97
Sr 0.1413 0.1413 0.5761  12 Mg 3.62-3.83, 3 Sr 3.92
Mg 0.4187 0.4187 0.2419  7 Mg 3.03-3.18
Sr 0.8587 0.8587 0.4239  12 Mg 3.62-3.83, 3 Sr 3.92
Mg 0.5813 0.0793 0.7581  7 Mg 3.03-3.18
Mg 0.3337 0.3337 0.9988  6 Mg 3.03-3.05
Mg 0.0793 0.5813 0.7581  7 Mg 3.03-3.18
Mg 0.6663 0.6663 0.0012  6 Mg 3.03-3.05
Mg 0.9207 0.4187 0.2419  7 Mg 3.03-3.18

***

(9)
Here is a relaxed structure of InB3Te from the Alexandria database. Energies are from GGA-PBE.

Properties
Polymorph energy (0 for the lowest one) = 23 meV per atom
Spin magnetization = 0.000 μB/atom
E_form (uncorrected) = 10.30 eV per formula unit
VASP energy = -15.6 eV per cell

a = 4.5709 Å, b = 4.5709 Å, c = 4.5709 Å
α = 90.00°, β = 90.00°, γ = 90.00°
Last column: nearest neighbours and their distance in Å.
Atoms (fractional coordinates):
Te 0.5000 0.5000 0.5000  12 B 3.23
B 0.0000 0.5000 0.0000  2 In 2.29
B 0.0000 0.0000 0.5000  2 In 2.29
B 0.5000 0.0000 0.0000  2 In 2.29
In 0.0000 0.0000 0.0000  6 B 2.29

***

(10)
Here is a relaxed structure of CrInW2 from the Alexandria database. Energies are from GGA-PBE.

Properties
Spin magnetization = 0.000 μB/atom
VASP energy = -36.6 eV per cell
Energy relative to the elements = 0.416 eV per atom

a = 2.9418 Å, b = 2.9418 Å, c = 7.5916 Å
α = 90.00°, β = 90.00°, γ = 90.00°
Last column: nearest neighbours and their distance in Å.
Atoms (fractional coordinates):
W 0.0000 0.0000 0.4513  4 Cr 2.58
W 0.0000 0.0000 0.0487  4 Cr 2.58
Cr 0.5000 0.5000 0.2500  8 W 2.58
In 0.5000 0.5000 0.7500  4 In 2.94, 8 W 3.08

***

(11)
Here is a relaxed structure of CeCuHg5 from the Alexandria database. Energies are from GGA-PBE.

Properties
Spin magnetization = 0.168 μB/atom
VASP energy = -12.5 eV per cell
Energy relative to the elements = -0.140 eV per atom

a = 4.7930 Å, b = 4.7930 Å, c = 7.4342 Å
α = 90.00°, β = 90.00°, γ = 90.00°
Last column: nearest neighbours and their distance in Å.
Atoms (fractional coordinates):
Hg 0.0000 0.5000 0.2997  2 Cu 2.82, 1 Hg 2.98
Cu 0.0000 0.0000 0.5000  8 Hg 2.82
Hg 0.5000 0.0000 0.7003  2 Cu 2.82, 1 Hg 2.98
Ce 0.0000 0.0000 0.0000  12 Hg 3.27-3.39
Hg 0.5000 0.0000 0.2997  2 Cu 2.82, 1 Hg 2.98
Hg 0.5000 0.5000 0.0000  8 Hg 3.27, 4 Ce 3.39
Hg 0.0000 0.5000 0.7003  2 Cu 2.82, 1 Hg 2.98